An optimized crystal structure of CoSi2W. Source: the Alexandria database, functional GGA-PBE.

Results
DOS(E_F) (states/eV per atom): 0.481
E_form (uncorrected) (eV/atom): -0.184
VASP energy (eV/cell): -63.3
Crystal system: monoclinic
Magnetization (Bohr magnetons per cell): 0.000

```
data_CoSi2W
_chemical_formula_sum 'Co2 Si4 W2'
_space_group_name_H-M_alt 'P 1'
_space_group_IT_number 1
_cell_length_a 8.939
_cell_length_b 2.792
_cell_length_c 4.361
_cell_angle_alpha 90.00
_cell_angle_beta 108.33
_cell_angle_gamma 90.00
loop_
_space_group_symop_operation_xyz
'x,y,z'
loop_
_atom_site_label
_atom_site_type_symbol
_atom_site_fract_x
_atom_site_fract_y
_atom_site_fract_z
_atom_site_occupancy
Co1 Co 0.000 0.000 0.000 1
Co2 Co 0.500 0.500 0.000 1
Si1 Si 0.235 0.500 0.101 1
Si2 Si 0.489 0.000 0.456 1
Si3 Si 0.735 0.000 0.101 1
Si4 Si 0.989 0.500 0.456 1
W1 W 0.243 0.000 0.606 1
W2 W 0.743 0.500 0.606 1
```